No. 1
## ZrMn2Si (PBE)

Data for crystalline ZrMn2Si at its relaxed geometry.

Cell and atoms, written as extended XYZ:
```
4
Lattice="-3.665 1.255 -1.362 0.207 -2.016 -2.414 -1.961 -3.976 1.613" Properties=species:S:1:pos:R:3 pbc="T T T"
Mn -2.189 -0.953 -1.178
Mn -0.153 -0.375 0.066
Zr -3.060 -3.733 -1.397
Si -0.894 -2.671 -0.056
```

Values from the calculation:
* raw formation energy: -0.16 eV/atom
* crystal system: monoclinic
* VASP energy: -8.240 eV per atom
* V: 59.1 Å³/cell

=====

No. 2
## EuMgCdRh (PBE)

Data for crystalline EuMgCdRh at its relaxed geometry.

Cell and atoms, written as extended XYZ:
```
4
Lattice="-0.961 -4.456 2.012 0.418 -4.124 -2.764 3.720 -3.203 0.852" Properties=species:S:1:pos:R:3 pbc="T T T"
Cd 2.383 -8.837 0.075
Mg 0.000 0.000 0.000
Rh 0.794 -2.946 0.025
Eu 1.589 -5.892 0.050
```

Values from the calculation:
* crystal system: cubic
* VASP energy: -5.254 eV per atom
* V: 87.5 Å³/cell
* energy relative to the elements: -0.2199 eV per atom

=====

No. 3
## Tb7Ag4Sn (PBE)

Data for crystalline Tb7Ag4Sn at its relaxed geometry.

Cell and atoms, written as extended XYZ:
```
12
Lattice="5.728 0.000 0.000 2.864 8.260 1.275 2.864 1.411 7.135" Properties=species:S:1:pos:R:3 pbc="T T T"
Ag 5.728 3.554 4.970
Tb 8.591 7.928 4.472
Sn 0.000 0.000 0.000
Tb 5.728 2.995 2.136
Tb 2.864 5.284 2.526
Tb 2.864 0.000 0.000
Ag 8.591 6.846 7.591
Ag 5.728 6.117 3.439
Tb 5.728 6.676 6.273
Tb 2.864 1.744 3.937
Ag 2.864 2.826 0.818
Tb 8.591 4.388 5.883
```

Values from the calculation:
* crystal system: monoclinic
* VASP energy: -4.129 eV per atom
* V: 327.3 Å³/cell
* energy relative to the elements: -0.1444 eV per atom

=====

No. 4
## KAgSb2Te (PBE)

Data for crystalline KAgSb2Te at its relaxed geometry.

Cell and atoms, written as extended XYZ:
```
5
Lattice="5.438 0.000 0.000 0.000 5.438 0.000 0.000 0.000 5.793" Properties=species:S:1:pos:R:3 pbc="T T T"
Sb 2.719 0.000 0.000
K 2.719 2.719 2.897
Ag 0.000 0.000 0.000
Sb 0.000 2.719 0.000
Te 0.000 0.000 2.897
```

Values from the calculation:
* raw formation energy: 0.14 eV/atom
* crystal system: tetragonal
* VASP energy: -2.926 eV per atom
* V: 171.3 Å³/cell

=====

No. 5
## NpTl2I3Br3 (PBE)

Data for crystalline NpTl2I3Br3 at its relaxed geometry.

Cell and atoms, written as extended XYZ:
```
9
Lattice="4.387 0.000 0.000 0.000 8.980 0.000 0.000 -4.490 7.777" Properties=species:S:1:pos:R:3 pbc="T T T"
Tl 2.194 4.490 2.592
Np 0.000 0.000 0.000
Br 2.194 -3.478 6.024
Br 2.194 1.012 1.753
I 0.000 2.792 4.835
Br 2.194 6.956 0.000
I 0.000 3.396 0.000
Tl 2.194 0.000 5.185
I 0.000 -1.698 2.941
```

Values from the calculation:
* raw formation energy: -0.84 eV/atom
* crystal system: hexagonal
* VASP energy: -3.876 eV per atom
* V: 306.4 Å³/cell

=====

No. 6
## ZnBiSe3 (PBE)

Data for crystalline ZnBiSe3 at its relaxed geometry.

Cell and atoms, written as extended XYZ:
```
5
Lattice="4.942 0.000 0.000 0.000 4.942 0.000 0.000 0.000 4.942" Properties=species:S:1:pos:R:3 pbc="T T T"
Se 0.000 0.000 2.471
Se 2.471 0.000 0.000
Zn 0.000 0.000 0.000
Se 0.000 2.471 0.000
Bi 2.471 2.471 2.471
```

Values from the calculation:
* raw formation energy: 0.15 eV/atom
* crystal system: cubic
* VASP energy: -2.972 eV per atom
* V: 120.7 Å³/cell

=====

No. 7
## PuInSnI6 (PBE)

Data for crystalline PuInSnI6 at its relaxed geometry.

Cell and atoms, written as extended XYZ:
```
18
Lattice="8.043 0.000 0.000 -4.022 6.965 0.000 0.000 0.000 15.162" Properties=species:S:1:pos:R:3 pbc="T T T"
I 6.547 2.470 1.981
I 2.887 0.060 1.981
I 5.413 4.435 5.600
Pu 4.022 2.322 3.791
In 0.000 0.000 0.000
I -1.391 2.530 9.562
I 1.134 6.905 13.181
Pu 0.000 4.644 11.372
Sn 4.022 2.322 11.372
I 5.156 0.060 5.600
I 2.526 4.495 9.562
In 0.000 0.000 7.581
Sn 0.000 4.644 3.791
I -1.134 6.905 9.562
I -2.526 4.495 13.181
I 2.630 4.435 1.981
I 1.391 2.530 13.181
I 1.496 2.470 5.600
```

Values from the calculation:
* raw formation energy: -0.74 eV/atom
* crystal system: trigonal
* VASP energy: -4.113 eV per atom
* V: 849.4 Å³/cell

=====

No. 8
## KNiAs2Se (PBE)

Data for crystalline KNiAs2Se at its relaxed geometry.

Cell and atoms, written as extended XYZ:
```
5
Lattice="5.418 0.000 0.000 0.000 5.418 0.000 0.000 0.000 5.481" Properties=species:S:1:pos:R:3 pbc="T T T"
As 0.000 2.709 0.000
Ni 2.709 2.709 2.740
K 0.000 0.000 0.000
As 2.709 0.000 0.000
Se 0.000 0.000 2.740
```

Values from the calculation:
* raw formation energy: 1.86 eV/atom
* crystal system: tetragonal
* VASP energy: -2.069 eV per atom
* V: 160.9 Å³/cell